The following is a PBE-GGA calculation of crystalline Tb2Nd6Er3Tl at its relaxed geometry, from Alexandria via LeMat-Bulk.

abc: 6.208 6.208 11.819
angles: 95.03 95.03 120.08
Positions (direct):
Tb1 0.167 0.833 0.000
Tb2 0.833 0.167 0.000
Nd1 0.088 0.417 0.750
Nd2 0.256 0.256 0.251
Nd3 0.417 0.088 0.750
Nd4 0.583 0.912 0.250
Nd5 0.744 0.744 0.749
Nd6 0.912 0.583 0.250
Er1 0.000 0.000 0.500
Er2 0.333 0.667 0.500
Er3 0.667 0.333 0.500
Tl1 0.500 0.500 0.000

DOS at the Fermi energy ... 13.318 states/eV/f.u.
SG ... C2/m
Crystal system ... monoclinic
Magnetic moment ... 0.0 Bohr magnetons per cell
Energy ... -0.3312 Ry/atom
Density ... 8.08 g cm⁻³